Entry 1:
CeLuRu | GGA-PBE | optimized geometry Values from VASP.

The structure in Quantum ESPRESSO input format:
```
&SYSTEM
  ibrav = 0, nat = 3, ntyp = 3
/
ATOMIC_SPECIES
Ru 101.07 Ru.upf
Lu 174.97 Lu.upf
Ce 140.12 Ce.upf
CELL_PARAMETERS angstrom
-1.709 -1.572 -2.398
1.752 -2.783 0.576
-4.432 0.306 5.282
ATOMIC_POSITIONS crystal
Ru 0.664 0.664 0.329
Lu 0.037 0.037 0.075
Ce 0.298 0.298 0.597
```

Calculated values
Calculated volume: 24.1 A^3/atom
Polymorph energy (0 for the lowest one): 0.00 eV/f.u.
SG: I4mm
Energy relative to the elements: -301 meV per atom

***

Entry 2:
Ce2LuRu | GGA-PBE | optimized geometry Values from VASP.

The structure in Quantum ESPRESSO input format:
```
&SYSTEM
  ibrav = 0, nat = 4, ntyp = 3
/
ATOMIC_SPECIES
Ru 101.07 Ru.upf
Lu 174.97 Lu.upf
Ce 140.12 Ce.upf
CELL_PARAMETERS angstrom
3.766 0.000 0.000
1.883 3.262 0.000
1.883 1.087 8.819
ATOMIC_POSITIONS crystal
Ru 0.000 0.000 0.000
Lu 0.500 0.500 0.500
Ce 0.270 0.270 0.190
Ce 0.730 0.730 0.810
```

Calculated values
Calculated volume: 27.1 A^3/atom
Polymorph energy (0 for the lowest one): 0.11 eV/f.u.
SG: R-3m
Energy relative to the elements: -51 meV per atom

***

Entry 3:
CeLuTlRu | GGA-PBE | optimized geometry Values from VASP.

The structure in Quantum ESPRESSO input format:
```
&SYSTEM
  ibrav = 0, nat = 4, ntyp = 4
/
ATOMIC_SPECIES
Ru 101.07 Ru.upf
Tl 204.38 Tl.upf
Lu 174.97 Lu.upf
Ce 140.12 Ce.upf
CELL_PARAMETERS angstrom
5.101 0.000 0.000
2.550 4.417 0.000
2.550 1.472 4.165
ATOMIC_POSITIONS crystal
Ru 0.750 0.750 0.750
Tl 0.250 0.250 0.250
Lu 0.500 0.500 0.500
Ce 0.000 0.000 0.000
```

Calculated values
Calculated volume: 23.5 A^3/atom
SG: F-43m
Energy relative to the elements: -174 meV per atom

***

Number 1: D(E_F) 4.90 states/eV/cell. Number 2: D(E_F) 7.81 states/eV/cell. Number 3: D(E_F) 5.66 states/eV/cell.